No. 1
DFT (PBE-GGA) results for an optimized crystal structure of FePdW.

Results
Its crystal system is monoclinic. Its distance to the lowest polymorph of the same formula is 0.1433 eV/atom. As for the space group: C2/m.

a b c (Å): 4.2148 4.2093 6.3198
angles (deg): 109.38 90.00 120.04
Site moments in Bohr magnetons follow the coordinates.
Fractional positions:
1 Pd 0.2901 0.5802 0.3721  0.07
2 Fe 0.4363 0.8726 0.8074  1.59
3 W 0.8704 0.7407 0.1123  -0.20
4 W 0.1296 0.2593 0.8877  -0.20
5 Fe 0.5637 0.1274 0.1926  1.59
6 Pd 0.7099 0.4198 0.6279  0.07

---

No. 2
DFT (PBE-GGA) results for an optimized crystal structure of Fe2Pd7W2.

Results
The value obtained for the energy is -7.082 eV per atom. Its crystal system is monoclinic. As for the space group: C2/m.

a b c (Å): 6.5735 5.2407 5.2407
angles (deg): 96.78 102.95 102.95
Site moments in Bohr magnetons follow the coordinates.
Fractional positions:
1 W 0.2146 0.4095 0.4095  -0.50
2 Pd 0.8341 0.4882 0.1116  0.01
3 Pd 0.8341 0.1116 0.4882  0.01
4 Pd 0.0000 0.0000 0.0000  0.00
5 Fe 0.5000 0.7183 0.2817  2.18
6 Pd 0.1659 0.8884 0.5118  0.01
7 Pd 0.1659 0.5118 0.8884  0.01
8 Fe 0.5000 0.2817 0.7183  2.18
9 Pd 0.4553 0.1845 0.1845  0.06
10 W 0.7854 0.5905 0.5905  -0.50
11 Pd 0.5447 0.8155 0.8155  0.06

---

No. 3
DFT (PBE-GGA) results for an optimized crystal structure of Zr2FePdW.

Results
The value obtained for the energy is -7.404 eV per atom. Its crystal system is tetragonal. As for the space group: P4/mmm.

a b c (Å): 4.9830 4.3258 4.9830
angles (deg): 90.00 90.00 90.00
Fractional positions:
1 Zr 0.0000 0.0000 0.5000
2 Fe 0.0000 0.5000 0.0000
3 Pd 0.0000 0.0000 0.0000
4 W 0.5000 0.5000 0.5000
5 Zr 0.5000 0.0000 0.0000

---

No. 4
DFT (PBE-GGA) results for an optimized crystal structure of YFe2Pd.

Results
The value obtained for the energy is -7.026 eV per atom. Its crystal system is cubic. As for the space group: Fm-3m.

a b c (Å): 4.5287 4.5287 4.5287
angles (deg): 60.00 60.00 60.00
Site moments in Bohr magnetons follow the coordinates.
Fractional positions:
1 Pd 0.5000 0.5000 0.5000  0.27
2 Fe 0.7500 0.7500 0.7500  2.61
3 Y 0.0000 0.0000 0.0000  -0.29
4 Fe 0.2500 0.2500 0.2500  2.61

---

No. 5
DFT (PBE-GGA) results for an optimized crystal structure of YFe2Pd.

Results
The value obtained for the energy is -6.934 eV per atom. Its crystal system is tetragonal. As for the space group: I-42d.

a b c (Å): 3.8870 3.8870 10.0495
angles (deg): 78.85 78.85 90.00
Site moments in Bohr magnetons follow the coordinates.
Fractional positions:
1 Pd 0.7500 0.2500 0.5000  0.08
2 Pd 0.0000 0.0000 0.0000  0.08
3 Fe 0.6951 0.1250 0.2500  2.61
4 Fe 0.3750 0.3049 0.7500  2.60
5 Fe 0.0549 0.6250 0.2500  2.60
6 Fe 0.8750 0.9451 0.7500  2.59
7 Y 0.2500 0.7500 0.5000  -0.13
8 Y 0.5000 0.5000 0.0000  -0.13

---

No. 6
DFT (PBE-GGA) results for an optimized crystal structure of Y2FePd2.

Results
The value obtained for the energy is -6.647 eV per atom. Its crystal system is tetragonal. As for the space group: P4/mbm.

a b c (Å): 6.9961 6.9961 4.1363
angles (deg): 90.00 90.00 90.00
Site moments in Bohr magnetons follow the coordinates.
Fractional positions:
1 Pd 0.8638 0.6362 0.0000  0.01
2 Fe 0.0000 0.0000 0.0000  -0.10
3 Y 0.8237 0.3237 0.5000  0.02
4 Pd 0.3638 0.8638 0.0000  0.02
5 Pd 0.6362 0.1362 0.0000  0.02
6 Y 0.1763 0.6763 0.5000  0.02
7 Y 0.3237 0.1763 0.5000  0.02
8 Pd 0.1362 0.3638 0.0000  0.01
9 Y 0.6763 0.8237 0.5000  0.02
10 Fe 0.5000 0.5000 0.0000  -0.13

---

No. 7
DFT (PBE-GGA) results for an optimized crystal structure of YFe2Pd2.

Results
Its crystal system is tetragonal. Its distance to the lowest polymorph of the same formula is 0.0240 eV/atom. As for the space group: I4/mmm.

a b c (Å): 4.0677 4.0677 5.9778
angles (deg): 70.11 70.11 90.00
Site moments in Bohr magnetons follow the coordinates.
Fractional positions:
1 Fe 0.6054 0.6054 0.7891  2.54
2 Pd 0.7500 0.2500 0.5000  0.25
3 Pd 0.2500 0.7500 0.5000  0.25
4 Fe 0.3946 0.3946 0.2109  2.54
5 Y 0.0000 0.0000 0.0000  -0.22

---

No. 8
DFT (PBE-GGA) results for an optimized crystal structure of Y6Fe2Pd.

Results
The value obtained for the energy is -6.963 eV per atom. Its crystal system is orthorhombic. As for the space group: Immm.

a b c (Å): 8.3050 8.3050 8.3050
angles (deg): 107.69 110.51 110.22
Site moments in Bohr magnetons follow the coordinates.
Fractional positions:
1 Y 0.2011 0.7784 0.9794  -0.08
2 Y 0.7989 0.2216 0.0206  -0.08
3 Pd 0.0000 0.5000 0.5000  -0.01
4 Fe 0.3852 0.0000 0.3852  1.21
5 Y 0.2970 0.9828 0.6858  -0.12
6 Y 0.8977 0.7110 0.1867  -0.11
7 Y 0.4758 0.2890 0.1867  -0.11
8 Y 0.5242 0.7110 0.8133  -0.11
9 Fe 0.6148 0.0000 0.6148  1.21
10 Y 0.7989 0.7784 0.5773  -0.08
11 Y 0.1023 0.2890 0.8133  -0.11
12 Y 0.7030 0.3888 0.6858  -0.12
13 Y 0.2970 0.6112 0.3142  -0.12
14 Fe 0.5000 0.6090 0.1090  0.86
15 Y 0.2011 0.2216 0.4227  -0.08
16 Pd 0.0000 0.0000 0.0000  0.00
17 Y 0.7030 0.0172 0.3142  -0.12
18 Fe 0.5000 0.3910 0.8910  0.86

---

No. 9
DFT (PBE-GGA) results for an optimized crystal structure of YFePd2.

Results
The value obtained for the energy is -6.362 eV per atom. Its crystal system is tetragonal. As for the space group: I-42d.

a b c (Å): 4.1125 4.1125 9.5104
angles (deg): 77.51 77.51 90.00
Site moments in Bohr magnetons follow the coordinates.
Fractional positions:
1 Pd 0.1594 0.6250 0.2500  0.11
2 Pd 0.3750 0.4094 0.7500  0.11
3 Fe 0.5000 0.5000 0.0000  2.71
4 Pd 0.5906 0.1250 0.2500  0.10
5 Fe 0.2500 0.7500 0.5000  2.72
6 Y 0.7500 0.2500 0.5000  -0.17
7 Y 0.0000 0.0000 0.0000  -0.17
8 Pd 0.8750 0.8406 0.7500  0.11

---

No. 10
DFT (PBE-GGA) results for an optimized crystal structure of YFe3Pd.

Results
Its crystal system is cubic. Its distance to the lowest polymorph of the same formula is 1.0637 eV/atom. As for the space group: Pm-3m.

a b c (Å): 4.6122 4.6122 4.6122
angles (deg): 90.00 90.00 90.00
Site moments in Bohr magnetons follow the coordinates.
Fractional positions:
1 Fe 0.0000 0.0000 0.5000  2.28
2 Fe 0.0000 0.5000 0.0000  2.46
3 Y 0.0000 0.0000 0.0000  -0.39
4 Fe 0.5000 0.0000 0.0000  2.61
5 Pd 0.5000 0.5000 0.5000  0.10

---

No. 11
DFT (PBE-GGA) results for an optimized crystal structure of Y2Fe2Pd.

Results
The value obtained for the energy is -7.180 eV per atom. Its crystal system is tetragonal. As for the space group: P4/mbm.

a b c (Å): 6.8494 6.8494 4.0732
angles (deg): 90.00 90.00 90.00
Site moments in Bohr magnetons follow the coordinates.
Fractional positions:
1 Y 0.8172 0.3172 0.5000  -0.21
2 Y 0.3172 0.1828 0.5000  -0.22
3 Y 0.6828 0.8172 0.5000  -0.22
4 Fe 0.8873 0.6127 0.0000  1.78
5 Fe 0.3873 0.8873 0.0000  1.82
6 Pd 0.5000 0.5000 0.0000  0.04
7 Fe 0.1127 0.3873 0.0000  1.78
8 Pd 0.0000 0.0000 0.0000  0.04
9 Fe 0.6127 0.1127 0.0000  1.82
10 Y 0.1828 0.6828 0.5000  -0.22

---

No. 12
DFT (PBE-GGA) results for an optimized crystal structure of Y4FePd.

Results
The value obtained for the energy is -6.861 eV per atom. Its crystal system is monoclinic. As for the space group: C2/c.

a b c (Å): 6.2173 7.8708 7.8708
angles (deg): 111.26 107.63 107.63
Fractional positions:
1 Pd 0.7500 0.6356 0.3644
2 Y 0.7087 0.2259 0.3527
3 Pd 0.2500 0.3644 0.6356
4 Y 0.2913 0.7741 0.6473
5 Y 0.7913 0.6473 0.7741
6 Y 0.0935 0.9458 0.2955
7 Y 0.5935 0.2955 0.9458
8 Y 0.2087 0.3527 0.2259
9 Fe 0.7500 0.9978 0.0022
10 Y 0.9065 0.0542 0.7045
11 Fe 0.2500 0.0022 0.9978
12 Y 0.4065 0.7045 0.0542

---

Across the entries above, total magnetic moment takes the values 0.4763 0.3110 0.0000 1.2545 1.2781 0.0001 1.0315 0.1103 0.6780 1.4000 0.5730 0.0003 μB/atom, respectively.